! TlP2CS (PBE, relaxed); values from VASP
&SYSTEM
  ibrav = 0, nat = 5, ntyp = 4
/
ATOMIC_SPECIES
Tl 204.38 Tl.upf
P 30.97 P.upf
C 12.01 C.upf
S 32.06 S.upf
ATOMIC_POSITIONS crystal
Tl 0.000 0.000 0.000
P 0.000 0.500 0.500
P 0.500 0.000 0.500
C 0.500 0.500 0.500
S 0.500 0.500 0.000
CELL_PARAMETERS angstrom
4.257 0.000 0.000
0.000 4.257 0.000
0.000 0.000 4.417
! space-group type = P4/mmm, No. 123
! size of the total moment = 0.02 Bohr magnetons per cell
! D(E_F) = 4.36 states/eV/cell
! energy above the most stable polymorph in this dataset = 0 meV/atom